VASP calculation (PBE+U) on a relaxed CrPSeO2 crystal.

a = 3.789 Å, b = 3.789 Å, c = 5.075 Å
α = 90.00°, β = 90.00°, γ = 90.00°
Atoms (fractional coordinates):
Cr: 0.000 0.000 0.000
P: 0.500 0.500 0.000
Se: 0.500 0.500 0.500
O: 0.000 0.500 0.500
O: 0.500 0.000 0.500

Calculated total energy in eV per cell: -26.02
V in Å³/f.u.: 72.9
E above lowest polymorph in meV/atom: 477.2
Space-group type: P4/mmm (123)